Entry 1:
The following is a GGA-PBE calculation of a relaxed PmNiH8Rh4 crystal, from Alexandria.

CIF file:
```
data_PmNiH8Rh4
_chemical_formula_sum 'Pm3 Ni3 H24 Rh12'
_cell_length_a 5.6805
_cell_length_b 5.6805
_cell_length_c 13.3761
_cell_angle_alpha 90.00
_cell_angle_beta 90.00
_cell_angle_gamma 120.00
_symmetry_space_group_name_H-M 'R 3 m'
_symmetry_Int_Tables_number 160
_symmetry_space_group_name_Hall 'R 3 -2"'
loop_
_atom_site_label
_atom_site_fract_x
_atom_site_fract_y
_atom_site_fract_z
_atom_site_occupancy
Pm1 0.0000 0.0000 0.0000 1
Ni1 0.0000 0.0000 0.6158 1
H1 0.0000 0.0000 0.3747 1
H2 0.0000 0.0000 0.8360 1
H3 0.0997 0.5498 0.3781 1
H4 0.1782 0.3565 0.2058 1
Rh1 0.0000 0.0000 0.2410 1
Rh2 0.0069 0.5034 0.1197 1
```



Entry 2:
# CdMoW2 GGA-PBE optimized geometry
data_CdMoW2
_chemical_formula_sum 'Cd2 Mo2 W4'
_cell_length_a 3.2297
_cell_length_b 4.5091
_cell_length_c 9.3661
_cell_angle_alpha 90.00
_cell_angle_beta 90.00
_cell_angle_gamma 90.00
_symmetry_space_group_name_H-M 'C m m 2'
_symmetry_Int_Tables_number 35
loop_
_symmetry_equiv_pos_as_xyz
'x,y,z'
'-x,-y,z'
'-x,y,z'
'x,-y,z'
'x+1/2,y+1/2,z'
'-x+1/2,-y+1/2,z'
'-x+1/2,y+1/2,z'
'x+1/2,-y+1/2,z'
loop_
_atom_site_label
_atom_site_fract_x
_atom_site_fract_y
_atom_site_fract_z
_atom_site_occupancy
Cd1 0.0000 0.0000 0.0000 1
Mo1 0.0000 0.5000 0.2646 1
W1 0.0000 0.0000 0.4981 1
W2 0.0000 0.5000 0.7329 1
# E_form   1.070 eV per formula unit



Entry 3:
# Mg5HgPd2Pb2 GGA-PBE optimized geometry
data_Mg5HgPd2Pb2
_chemical_formula_sum 'Mg10 Hg2 Pd4 Pb4'
_cell_length_a 10.8405
_cell_length_b 10.8405
_cell_length_c 3.7056
_cell_angle_alpha 90.00
_cell_angle_beta 90.00
_cell_angle_gamma 90.00
_symmetry_space_group_name_H-M 'P 4/m b m'
_symmetry_Int_Tables_number 127
_symmetry_space_group_name_Hall '-P 4 2ab'
loop_
_atom_site_label
_atom_site_fract_x
_atom_site_fract_y
_atom_site_fract_z
_atom_site_occupancy
Mg1 0.0000 0.5000 0.0000 1
Mg2 0.0651 0.2080 0.0000 1
Hg1 0.0000 0.0000 0.5000 1
Pd1 0.1245 0.3755 0.5000 1
Pb1 0.1752 0.6752 0.5000 1
# E_form   -3.207 eV per formula unit



no.,total magnetization (Bohr magnetons per cell),uncorrected energy (hartree per atom)
1,0.00,-0.18281
2,0.00,-0.33610
3,0.00,-0.10762